DFT (PBE-GGA) results for crystalline CdCuPS2 at its relaxed geometry.

Results
* DFT total energy: -3.195 eV/atom
* excess energy over the best structure of this formula in the dataset: 0 meV/atom
* magnetic moment: 0.000 μB per cell
* formation energy without anion corrections: 541 meV per atom
* ρ: 4.6 g cm⁻³

```
data_CdCuPS2
_chemical_formula_sum 'Cd1 Cu1 P1 S2'
_symmetry_space_group_name_H-M 'P 4/m m m'
_symmetry_Int_Tables_number 123
_symmetry_space_group_name_Hall '-P 4 2'
_cell_length_a 4.789
_cell_length_b 4.789
_cell_length_c 4.287
_cell_angle_alpha 90.00
_cell_angle_beta 90.00
_cell_angle_gamma 90.00
loop_
_atom_site_label
_atom_site_type_symbol
_atom_site_fract_x
_atom_site_fract_y
_atom_site_fract_z
Cd1 Cd 0.000 0.000 0.000
Cu1 Cu 0.500 0.500 0.500
P1 P 0.500 0.500 0.000
S1 S 0.000 0.500 0.500
```